A relaxed structure of LaMgI2O. Source: Alexandria via LeMat-Bulk, functional PBE.

The space group is P4/mmm (No. 123) and the conventional cell measures 5.887, 5.887 and 3.805 Å, with angles of 90.00, 90.00 and 90.00 degrees. The distinct sites, in fractional coordinates, are La at (0.000, 0.000, 0.000), Mg at (0.500, 0.500, 0.500), I at (0.000, 0.500, 0.500) and O at (0.500, 0.500, 0.000).

The calculation puts the formation energy (no corrections) at -29.3 kcal/mol of atoms. The density is 5.5 Mg/m³. The density of states at the Fermi level comes out at 2.604 states/eV/cell.



A relaxed structure of Mg3Zr2NpN6. Source: Alexandria via LeMat-Bulk, functional PBE.

The space group is C2/m (No. 12) and the conventional cell measures 14.032, 3.273 and 6.452 Å, with angles of 90.00, 101.73 and 90.00 degrees. The distinct sites, in fractional coordinates, are Mg at (0.000, 0.000, 0.000), Mg at (0.169, 0.500, 0.334), Zr at (0.169, 0.500, 0.842), Np at (0.000, 0.000, 0.500), N at (0.003, 0.500, 0.750), N at (0.165, 0.000, 0.591) and N at (0.169, 0.000, 0.082).

The calculation puts the formation energy (no corrections) at -27.6 kcal/mol of atoms. The density is 6.6 Mg/m³. The density of states at the Fermi level comes out at 11.285 states/eV/cell.



A relaxed structure of SbSe2Cl. Source: Alexandria via LeMat-Bulk, functional PBE.

The space group is R-3m (No. 166, hexagonal axes) and the conventional cell measures 3.2651, 3.2651 and 30.1100 Å, with angles of 90.00, 90.00 and 120.00 degrees. The distinct sites, in fractional coordinates, are Sb at (0.0000, 0.0000, 0.0000), Se at (0.0000, 0.0000, 0.0898) and Cl at (0.0000, 0.0000, 0.5000).

The calculation puts the formation energy (no corrections) at 8.4 kcal/mol of atoms. The density is 5.6 Mg/m³. The density of states at the Fermi level comes out at 8.818 states/eV/cell.



A relaxed structure of ScMn2Se. Source: Alexandria via LeMat-Bulk, functional PBE.

The space group is Pm (No. 6) and the conventional cell measures 3.573, 3.695 and 5.601 Å, with angles of 90.00, 108.51 and 90.00 degrees. The distinct sites, in fractional coordinates, are Sc at (0.000, 0.000, 0.000), Mn at (0.328, 0.500, 0.657), Mn at (0.743, 0.000, 0.486) and Se at (0.582, 0.500, 0.165).

The calculation puts the formation energy (no corrections) at -6.0 kcal/mol of atoms. The density is 5.5 Mg/m³. The density of states at the Fermi level comes out at 3.201 states/eV/cell.



A relaxed structure of Ba2SrAs. Source: Alexandria via LeMat-Bulk, functional PBE.

The space group is I-42d (No. 122) and the conventional cell measures 11.639, 11.639 and 6.229 Å, with angles of 90.00, 90.00 and 90.00 degrees. The distinct sites, in fractional coordinates, are Ba at (0.112, 0.250, 0.125), Sr at (0.000, 0.000, 0.500) and As at (0.000, 0.000, 0.000).

The density is 3.4 Mg/m³. The density of states at the Fermi level comes out at 12.215 states/eV/cell. The calculation puts the energy of formation at -0.48 eV per atom.



A relaxed structure of TbPr6Mg2. Source: Alexandria via LeMat-Bulk, functional PBE.

The space group is C2/c (No. 15) and the conventional cell measures 15.985, 11.897 and 6.310 Å, with angles of 90.00, 96.07 and 90.00 degrees. The distinct sites, in fractional coordinates, are Tb at (0.000, 0.104, 0.250), Pr at (0.056, 0.369, 0.510), Pr at (0.117, 0.147, 0.815), Pr at (0.221, 0.132, 0.340) and Mg at (0.164, 0.381, 0.087).

The density is 5.9 Mg/m³. The density of states at the Fermi level comes out at 44.784 states/eV/cell. The calculation puts the energy of formation at 0.03 eV per atom.



A relaxed structure of La3CuGe2. Source: Alexandria via LeMat-Bulk, functional PBE.

The space group is Pnma (No. 62) and the conventional cell measures 12.137, 4.382 and 12.084 Å, with angles of 90.00, 90.00 and 90.00 degrees. The distinct sites, in fractional coordinates, are La at (0.057, 0.250, 0.124), La at (0.123, 0.750, 0.561), La at (0.208, 0.250, 0.805), Cu at (0.129, 0.250, 0.370), Ge at (0.026, 0.750, 0.317) and Ge at (0.194, 0.750, 0.994).

The density is 6.5 Mg/m³. The density of states at the Fermi level comes out at 20.491 states/eV/cell. The calculation puts the energy of formation at -0.67 eV per atom.



A relaxed structure of BaLa2TlTc. Source: Alexandria via LeMat-Bulk, functional PBE.

The space group is P4/mmm (No. 123) and the conventional cell measures 5.447, 5.447 and 5.701 Å, with angles of 90.00, 90.00 and 90.00 degrees. The distinct sites, in fractional coordinates, are Ba at (0.000, 0.000, 0.000), La at (0.000, 0.500, 0.500), Tl at (0.500, 0.500, 0.000) and Tc at (0.500, 0.500, 0.500).

The density is 7.0 Mg/m³. The density of states at the Fermi level comes out at 3.481 states/eV/cell. The calculation puts the energy of formation at -0.05 eV per atom.



A relaxed structure of CoMoOs2. Source: Alexandria via LeMat-Bulk, functional PBE.

The space group is C2/m (No. 12) and the conventional cell measures 5.326, 8.939 and 2.664 Å, with angles of 90.00, 116.81 and 90.00 degrees. The distinct sites, in fractional coordinates, are Co at (0.000, 0.000, 0.000), Mo at (0.000, 0.500, 0.000) and Os at (0.250, 0.250, 0.500).

The density is 15.7 Mg/m³. The density of states at the Fermi level comes out at 10.906 states/eV/cell. The calculation puts the energy of formation at 0.36 eV per atom.



A relaxed structure of PmSm. Source: Alexandria via LeMat-Bulk, functional PBE.

The space group is C2/m (No. 12) and the conventional cell measures 15.893, 3.635 and 7.273 Å, with angles of 90.00, 103.28 and 90.00 degrees. The distinct sites, in fractional coordinates, are Pm at (0.000, 0.000, 0.000), Pm at (0.167, 0.500, 0.833), Sm at (0.000, 0.000, 0.500) and Sm at (0.167, 0.500, 0.334).

The density is 7.2 Mg/m³. The density of states at the Fermi level comes out at 16.887 states/eV/cell. The calculation puts the energy of formation at 0.01 eV per atom.



A relaxed structure of K3Ce2DyTe6. Source: Alexandria via LeMat-Bulk, functional PBE.

The space group is C2/m (No. 12) and the conventional cell measures 7.982, 13.826 and 8.641 Å, with angles of 90.00, 107.95 and 90.00 degrees. The distinct sites, in fractional coordinates, are K at (0.000, 0.000, 0.000), K at (0.000, 0.332, 0.000), Ce at (0.000, 0.166, 0.500), Dy at (0.000, 0.500, 0.500), Te at (0.233, 0.337, 0.712) and Te at (0.246, 0.000, 0.712).

The calculation puts the formation energy (no corrections) at -31.4 kcal/mol of atoms. The density is 4.9 Mg/m³. The density of states at the Fermi level comes out at 25.240 states/eV/cell.



A relaxed structure of LiAc2Sn3Au4. Source: Alexandria via LeMat-Bulk, functional PBE.

The space group is P-4m2 (No. 115) and the conventional cell measures 4.770, 4.770 and 10.981 Å, with angles of 90.00, 90.00 and 90.00 degrees. The distinct sites, in fractional coordinates, are Li at (0.000, 0.000, 0.000), Ac at (0.000, 0.500, 0.741), Sn at (0.000, 0.500, 0.365), Sn at (0.500, 0.500, 0.000), Au at (0.000, 0.000, 0.500), Au at (0.000, 0.500, 0.119) and Au at (0.500, 0.500, 0.500).

The density is 10.7 Mg/m³. The density of states at the Fermi level comes out at 5.007 states/eV/cell. The calculation puts the energy of formation at -0.66 eV per atom.



Question: Among the records above, which one has the lowest density?
Answer: Ba2SrAs



Question: Which of these has the highest density?
Answer: CoMoOs2



Question: density of number 5 (Ba2SrAs)?
Answer: 3.4 Mg/m³